PBE Pr2MgSb, relaxed; formation energy from raw total energies = -0.55 eV/atom; polymorph energy (0 for the lowest one) = 0.17 eV per formula unit; energy = -4.37 eV per atom; total moment = 0.0 μB/f.u.
1.0
-4.0053 1.5948 2.8479
-3.5829 -5.3886 -2.0136
10.3894 0.5098 4.9375
Pr Mg Sb
4 2 2
Direct
0.2517 0.0046 0.7177
0.7719 0.7397 0.2381
0.4581 0.3325 0.4240
0.9381 0.5979 0.9037
0.6305 0.0775 0.0964
0.0793 0.2605 0.0452
0.5062 0.8598 0.4723
0.2038 0.4773 0.6695